Te2RuCI | GGA-PBE | relaxed

Unit cell a=5.083 b=5.083 c=5.740 alpha=90.00 beta=90.00 gamma=90.00
Space group P4/mmm (No. 123)
Symmetry-distinct sites (fractional):
Te: 0.000 0.500 0.000 x2
Ru: 0.000 0.000 0.000 x1
C: 0.500 0.500 0.500 x1
I: 0.000 0.000 0.500 x1

E above lowest polymorph, meV/atom: 172
Energy relative to the elements, uncorrected, kJ/mol of formula units: 838
Total energy, Ry per atom: -0.2594

CaMnMo | GGA-PBE | relaxed

Unit cell a=6.665 b=6.665 c=6.665 alpha=90.00 beta=90.00 gamma=90.00
Space group F-43m (No. 216)
Symmetry-distinct sites (fractional):
Ca: 0.000 0.000 0.000 x4
Mn: 0.250 0.250 0.250 x4
Mo: 0.250 0.250 0.750 x4

E above lowest polymorph, meV/atom: 1514
E_form, meV per atom: 1963
Total energy, Ry per atom: -0.3948

CaMnNb2N4 | GGA-PBE | relaxed

Unit cell a=3.136 b=10.779 c=10.876 alpha=90.00 beta=90.00 gamma=90.00
Space group Cmcm (No. 63)
Symmetry-distinct sites (fractional):
Ca: 0.000 0.107 0.250 x4
Mn: 0.000 0.158 0.750 x4
Nb: 0.000 0.368 0.046 x8
N: 0.000 0.000 0.000 x4
N: 0.000 0.270 0.616 x8
N: 0.000 0.434 0.250 x4

Energy relative to the elements, uncorrected, kJ/mol of formula units: -701
Total energy, Ry per atom: -0.6603

CsAgI4 | GGA-PBE | relaxed

Unit cell a=23.456 b=6.309 c=9.822 alpha=90.00 beta=106.42 gamma=90.00
Space group C2/m (No. 12)
Symmetry-distinct sites (fractional):
Cs: 0.139 0.000 0.358 x4
Ag: 0.104 0.500 0.715 x4
I: 0.000 0.246 0.500 x4
I: 0.096 0.245 0.956 x8
I: 0.191 0.500 0.578 x4

E above lowest polymorph, meV/atom: 28
Energy relative to the elements, uncorrected, kJ/mol of formula units: -316
Total energy, Ry per atom: -0.1615

Pa2NbZn | GGA-PBE | relaxed

Unit cell a=3.685 b=3.685 c=6.475 alpha=90.00 beta=90.00 gamma=90.00
Space group P4/mmm (No. 123)
Symmetry-distinct sites (fractional):
Pa: 0.000 0.000 0.240 x2
Nb: 0.500 0.500 0.500 x1
Zn: 0.500 0.500 0.000 x1

E above lowest polymorph, meV/atom: 92
E_form, meV per atom: 173
Total energy, Ry per atom: -0.5447

LiPrCu2 | GGA-PBE | relaxed

Unit cell a=6.810 b=6.810 c=6.810 alpha=90.00 beta=90.00 gamma=90.00
Space group Fm-3m (No. 225)
Symmetry-distinct sites (fractional):
Li: 0.000 0.000 0.000 x4
Pr: 0.000 0.000 0.500 x4
Cu: 0.250 0.250 0.250 x8

E above lowest polymorph, meV/atom: 81
E_form, meV per atom: -26
Total energy, Ry per atom: -0.2754

CsLiGa2Br8 | GGA-PBE | relaxed

Unit cell a=6.8785 b=6.8785 c=30.4702 alpha=90.00 beta=90.00 gamma=120.00
Space group R-3 (No. 148, hexagonal axes)
Symmetry-distinct sites (fractional):
Cs: 0.0000 0.0000 0.0000 x3
Li: 0.0000 0.0000 0.5000 x3
Ga: 0.0000 0.0000 0.2448 x6
Br: 0.0000 0.0000 0.3225 x6
Br: 0.0022 0.6632 0.8884 x18

Energy relative to the elements, uncorrected, kJ/mol of formula units: -1326
Total energy, Ry per atom: -0.2202

Gd2TmNp | GGA-PBE | relaxed

Unit cell a=3.4600 b=3.4600 c=34.5238 alpha=90.00 beta=90.00 gamma=120.00
Space group R-3m (No. 166, hexagonal axes)
Symmetry-distinct sites (fractional):
Gd: 0.0000 0.0000 0.2489 x6
Tm: 0.0000 0.0000 0.0000 x3
Np: 0.0000 0.0000 0.5000 x3

E_form, meV per atom: 322
Total energy, Ry per atom: -0.8138